Record 1
First-principles (meta-GGA SCAN) data for a crystal of Ag2HgMo relaxed with PBEsol, as listed in Alexandria.

Uncorrected energy = -40.869 eV/atom
Energy of formation = 0.58 eV/atom
Crystal system = orthorhombic

Lattice parameters (Å, degrees): 5.7788 8.8592 2.6877 90.00 90.00 90.00
Last column: nearest neighbours and their distance in Å.
Fractional positions:
Ag 0.2500 0.2500 0.0000  4 Ag 2.69-2.89, 4 Hg 2.97, 4 Mo 2.97
Ag 0.2500 0.7500 0.0000  4 Ag 2.69-2.89, 4 Hg 2.97, 4 Mo 2.97
Ag 0.7500 0.2500 0.0000  4 Ag 2.69-2.89, 4 Hg 2.97, 4 Mo 2.97
Ag 0.7500 0.7500 0.0000  4 Ag 2.69-2.89, 4 Hg 2.97, 4 Mo 2.97
Hg 0.0000 0.0000 0.5000  2 Hg 2.69, 2 Mo 2.89, 8 Ag 2.97
Hg 0.5000 0.5000 0.5000  2 Hg 2.69, 2 Mo 2.89, 8 Ag 2.97
Mo 0.0000 0.5000 0.5000  2 Mo 2.69, 2 Hg 2.89, 8 Ag 2.97
Mo 0.5000 0.0000 0.5000  2 Mo 2.69, 2 Hg 2.89, 8 Ag 2.97

***

Record 2
First-principles (meta-GGA SCAN) data for a crystal of IrOsRuN2 relaxed with PBEsol, as listed in Alexandria.

Uncorrected energy = -37.910 eV/atom
Crystal system = tetragonal

Lattice parameters (Å, degrees): 3.6737 3.6737 5.3364 90.00 90.00 90.00
Last column: nearest neighbours and their distance in Å.
Fractional positions:
Ir 0.0000 0.0000 0.0000  4 Ru 2.60, 2 Os 2.67
Os 0.0000 0.0000 0.5000  4 N 1.84
Ru 0.5000 0.5000 0.0000  4 Ir 2.60
N 0.0000 0.5000 0.5000  2 Os 1.84
N 0.5000 0.0000 0.5000  2 Os 1.84

***

Record 3
First-principles (meta-GGA SCAN) data for a crystal of TaAg2As relaxed with PBEsol, as listed in Alexandria.

Uncorrected energy = -36.983 eV/atom
Energy of formation = 0.39 eV/atom
Crystal system = orthorhombic

Lattice parameters (Å, degrees): 2.8480 5.0389 9.7348 90.00 90.00 90.00
Last column: nearest neighbours and their distance in Å.
Fractional positions:
Ta 0.0000 0.0000 0.0000  2 As 2.68, 2 Ta 2.85, 6 Ag 2.89-2.90
Ta 0.5000 0.5000 0.5000  2 As 2.68, 2 Ta 2.85, 6 Ag 2.89-2.90
Ag 0.0000 0.0000 0.5093  4 Ag 2.83-2.85, 2 As 2.88, 4 Ta 2.90
Ag 0.0000 0.5000 0.7584  4 Ag 2.83-2.85, 2 Ta 2.89, 4 As 2.90
Ag 0.5000 0.0000 0.2584  4 Ag 2.83-2.85, 2 Ta 2.89, 4 As 2.90
Ag 0.5000 0.5000 0.0093  4 Ag 2.83-2.85, 2 As 2.88, 4 Ta 2.90
As 0.0000 0.5000 0.2669  2 Ta 2.68, 2 As 2.85, 6 Ag 2.88-2.90
As 0.5000 0.0000 0.7669  2 Ta 2.68, 2 As 2.85, 6 Ag 2.88-2.90

***

Record 4
First-principles (meta-GGA SCAN) data for a crystal of YCoBr2 relaxed with PBEsol, as listed in Alexandria.

Uncorrected energy = -21.797 eV/atom
Crystal system = monoclinic
ΔE to the lowest computed polymorph = 0 meV/atom

Lattice parameters (Å, degrees): 13.8993 3.6736 3.9641 90.00 91.14 90.00
Last column: nearest neighbours and their distance in Å.
Fractional positions:
Y 0.0000 0.0000 0.0000  4 Co 2.70, 4 Br 2.92
Y 0.5000 0.5000 0.0000  4 Co 2.70, 4 Br 2.92
Co 0.0000 0.5000 0.5000  2 Br 2.27
Co 0.5000 0.0000 0.5000  2 Br 2.27
Br 0.1474 0.5000 0.7601  1 Co 2.27
Br 0.3526 0.0000 0.2399  1 Co 2.27
Br 0.6474 0.0000 0.7601  1 Co 2.27
Br 0.8526 0.5000 0.2399  1 Co 2.27

***

Record 5
First-principles (meta-GGA SCAN) data for a crystal of AlB2MoAu relaxed with PBEsol, as listed in Alexandria.

Uncorrected energy = -23.548 eV/atom
Energy of formation = 1.78 eV/atom
Crystal system = tetragonal

Lattice parameters (Å, degrees): 4.0455 4.0455 4.5634 90.00 90.00 90.00
Last column: nearest neighbours and their distance in Å.
Fractional positions:
Al 0.0000 0.0000 0.0000  4 B 2.02
B 0.0000 0.5000 0.0000  2 Al 2.02
B 0.5000 0.0000 0.0000  2 Al 2.02
Mo 0.0000 0.0000 0.5000  2 Al 2.28
Au 0.5000 0.5000 0.5000  4 Mo 2.86, 8 B 3.05

***

Record 6
First-principles (meta-GGA SCAN) data for a crystal of KTaAlCl2 relaxed with PBEsol, as listed in Alexandria.

Uncorrected energy = -18.805 eV/atom
Crystal system = tetragonal

Lattice parameters (Å, degrees): 4.8963 4.8963 7.0602 90.00 90.00 90.00
Last column: nearest neighbours and their distance in Å.
Fractional positions:
K 0.0000 0.0000 0.0000  4 Ta 3.46, 2 Al 3.53
Ta 0.5000 0.5000 0.0000  4 K 3.46
Al 0.0000 0.0000 0.5000  4 Cl 2.45
Cl 0.0000 0.5000 0.5000  2 Al 2.45
Cl 0.5000 0.0000 0.5000  2 Al 2.45

***

Record 7
First-principles (meta-GGA SCAN) data for a crystal of SrLiCl2 relaxed with PBEsol, as listed in Alexandria.

Uncorrected energy = -11.914 eV/atom
Crystal system = orthorhombic
ΔE to the lowest computed polymorph = 59 meV/atom

Lattice parameters (Å, degrees): 3.7602 5.8145 8.0542 90.00 90.00 90.00
Last column: nearest neighbours and their distance in Å.
Fractional positions:
Sr 0.0000 0.0000 0.0000  8 Cl 3.07-3.32
Sr 0.5000 0.5000 0.5000  8 Cl 3.07-3.32
Li 0.0000 0.0000 0.5000  4 Cl 2.47
Li 0.5000 0.5000 0.0000  4 Cl 2.47
Cl 0.0000 0.5000 0.1987  2 Li 2.47
Cl 0.0000 0.5000 0.8013  2 Li 2.47
Cl 0.5000 0.0000 0.3013  2 Li 2.47
Cl 0.5000 0.0000 0.6987  2 Li 2.47

***

Record 8
First-principles (meta-GGA SCAN) data for a crystal of Os2PbBr relaxed with PBEsol, as listed in Alexandria.

Uncorrected energy = -58.012 eV/atom
Crystal system = cubic

Lattice parameters (Å, degrees): 6.5139 6.5139 6.5139 90.00 90.00 90.00
Last column: nearest neighbours and their distance in Å.
Fractional positions:
Os 0.2500 0.2500 0.2500  4 Pb 2.82, 4 Br 2.82
Os 0.2500 0.2500 0.7500  4 Pb 2.82, 4 Br 2.82
Os 0.2500 0.7500 0.2500  4 Pb 2.82, 4 Br 2.82
Os 0.2500 0.7500 0.7500  4 Pb 2.82, 4 Br 2.82
Os 0.7500 0.2500 0.2500  4 Pb 2.82, 4 Br 2.82
Os 0.7500 0.2500 0.7500  4 Pb 2.82, 4 Br 2.82
Os 0.7500 0.7500 0.2500  4 Pb 2.82, 4 Br 2.82
Os 0.7500 0.7500 0.7500  4 Pb 2.82, 4 Br 2.82
Pb 0.0000 0.0000 0.0000  8 Os 2.82
Pb 0.0000 0.5000 0.5000  8 Os 2.82
Pb 0.5000 0.0000 0.5000  8 Os 2.82
Pb 0.5000 0.5000 0.0000  8 Os 2.82
Br 0.0000 0.0000 0.5000  8 Os 2.82
Br 0.0000 0.5000 0.0000  8 Os 2.82
Br 0.5000 0.0000 0.0000  8 Os 2.82
Br 0.5000 0.5000 0.5000  8 Os 2.82

***

Record 9
First-principles (meta-GGA SCAN) data for a crystal of LaMnMo2 relaxed with PBEsol, as listed in Alexandria.

Uncorrected energy = -32.180 eV/atom
Energy of formation = 0.60 eV/atom
Crystal system = monoclinic
ΔE to the lowest computed polymorph = 88 meV/atom

Lattice parameters (Å, degrees): 9.1073 3.1463 5.7094 90.00 109.69 90.00
Last column: nearest neighbours and their distance in Å.
Fractional positions:
La 0.0000 0.0000 0.0000  2 Mn 2.98, 2 La 3.15, 5 Mo 3.19-3.22
La 0.5000 0.5000 0.0000  2 Mn 2.98, 2 La 3.15, 5 Mo 3.19-3.22
Mn 0.2439 0.0000 0.6405  4 Mo 2.39-2.40
Mn 0.7439 0.5000 0.6405  4 Mo 2.39-2.40
Mo 0.0322 0.5000 0.5343  2 Mn 2.40, 2 Mo 2.56
Mo 0.2980 0.5000 0.3650  2 Mn 2.39, 2 Mo 2.56
Mo 0.5322 0.0000 0.5343  2 Mn 2.40, 2 Mo 2.56
Mo 0.7980 0.0000 0.3650  2 Mn 2.39, 2 Mo 2.56

***

Record 10
First-principles (meta-GGA SCAN) data for a crystal of CdTcPt relaxed with PBEsol, as listed in Alexandria.

Uncorrected energy = -44.957 eV/atom
Energy of formation = 0.27 eV/atom
Crystal system = trigonal
ΔE to the lowest computed polymorph = 0 meV/atom

Lattice parameters (Å, degrees): 4.5478 4.5478 2.6707 90.00 90.00 120.00
Last column: nearest neighbours and their distance in Å.
Fractional positions:
Cd 0.0000 0.0000 0.0000  3 Pt 2.63, 2 Cd 2.67, 3 Tc 2.93
Tc 0.6667 0.3333 0.5090  2 Tc 2.67, 6 Cd 2.93-2.96, 6 Pt 2.94-2.95
Pt 0.3333 0.6667 0.0139  3 Cd 2.63, 2 Pt 2.67, 3 Tc 2.94

***

| no. | size of the total moment (μB/cell) |
| --- | --- |
| 1 | 0.0 |
| 2 | 3.6 |
| 3 | 0.0 |
| 4 | 0.3 |
| 5 | 0.0 |
| 6 | 3.4 |
| 7 | 1.9 |
| 8 | 0.0 |
| 9 | 0.0 |
| 10 | 1.7 |